Compound: PmZrGaOs
Source: Alexandria
Functional: GGA-PBE
Structure: relaxed

Calculated values
Total moment, Bohr magnetons per cell: 0.000
Formation energy from the elements, eV per atom: -0.216
Fermi-level density of states, states/eV/cell: 9.27
E, eV per atom: -7.105

The structure in CIF format:
```
data_PmZrGaOs
_symmetry_space_group_name_H-M 'F -4 3 m'
_symmetry_Int_Tables_number 216
_symmetry_space_group_name_Hall 'F -4 2 3'
_cell_length_a 6.903
_cell_length_b 6.903
_cell_length_c 6.903
_cell_angle_alpha 90.00
_cell_angle_beta 90.00
_cell_angle_gamma 90.00
loop_
_atom_site_label
_atom_site_fract_x
_atom_site_fract_y
_atom_site_fract_z
_atom_site_occupancy
Pm1 0.000 0.000 0.000 1
Zr1 0.000 0.000 0.500 1
Ga1 0.250 0.250 0.750 1
Os1 0.250 0.250 0.250 1
```